[1]
TbYAsP | PBE | optimized geometry

abc: 4.077 4.077 5.768
angles: 90.00 90.00 90.00
Atoms (fractional coordinates):
Tb 0.000 0.000 0.000
Y 0.500 0.500 0.500
As 0.000 0.000 0.500
P 0.500 0.500 0.000

The formation energy is -1.58 eV/atom.

---

[2]
CeCoGe | PBE | optimized geometry

abc: 4.167 4.167 6.622
angles: 90.00 90.00 90.00
Atoms (fractional coordinates):
Ce 0.250 0.250 0.191
Ce 0.750 0.750 0.809
Co 0.250 0.750 0.500
Co 0.750 0.250 0.500
Ge 0.250 0.250 0.696
Ge 0.750 0.750 0.304

The formation energy is -0.59 eV/atom.

---

[3]
CdRuRhSe2 | PBE | optimized geometry

abc: 4.799 4.799 5.056
angles: 90.00 90.00 90.00
Atoms (fractional coordinates):
Cd 0.000 0.000 0.000
Ru 0.500 0.500 0.000
Rh 0.000 0.000 0.500
Se 0.000 0.500 0.500
Se 0.500 0.000 0.500

The value obtained for the uncorrected formation energy is 4.44 eV/f.u.

---

[4]
BHBr2 | PBE | optimized geometry

abc: 4.561 4.561 4.561
angles: 60.00 60.00 60.00
Atoms (fractional coordinates):
B 0.000 0.000 0.000
H 0.500 0.500 0.500
Br 0.250 0.250 0.250
Br 0.750 0.750 0.750

The calculation puts the offset from the most stable computed form at 1.8187 eV/atom.

---

[5]
PrTmIr | PBE | optimized geometry

abc: 4.878 4.878 4.878
angles: 60.00 60.00 60.00
Atoms (fractional coordinates):
Pr 0.000 0.000 0.000
Tm 0.500 0.500 0.500
Ir 0.250 0.250 0.250

The calculation puts the offset from the most stable computed form at 0.0514 eV/atom. The formation energy is -0.59 eV/atom.

---

[6]
LaZnTc2 | PBE | optimized geometry

abc: 5.700 5.700 5.700
angles: 147.02 129.92 61.28
Atoms (fractional coordinates):
La 0.000 0.000 0.000
Zn 0.288 0.788 0.500
Tc 0.532 0.532 0.000
Tc 0.731 0.231 0.500

The formation energy is 0.33 eV/atom.

---

[7]
K2TlNi | PBE | optimized geometry

abc: 6.783 6.783 6.783
angles: 144.41 129.54 63.27
Atoms (fractional coordinates):
K 0.000 0.000 0.000
K 0.696 0.196 0.500
Tl 0.404 0.404 0.000
Ni 0.274 0.774 0.500

The calculation puts the offset from the most stable computed form at 0.0879 eV/atom. The formation energy is 0.26 eV/atom.

---

[8]
YIrSe2 | PBE | optimized geometry

abc: 3.744 6.761 6.761
angles: 34.24 90.00 90.00
Atoms (fractional coordinates):
Y 0.000 0.000 0.000
Ir 0.500 0.396 0.396
Se 0.000 0.281 0.281
Se 0.500 0.588 0.588

The calculation puts the offset from the most stable computed form at 0.0895 eV/atom. The value obtained for the uncorrected formation energy is -3.34 eV/f.u.

---

[9]
Sc4SbSe | PBE | optimized geometry

abc: 7.943 7.943 6.340
angles: 104.72 104.72 122.00
Atoms (fractional coordinates):
Sc 0.118 0.685 0.929
Sc 0.202 0.324 0.734
Sc 0.315 0.882 0.571
Sc 0.324 0.202 0.234
Sc 0.676 0.798 0.766
Sc 0.685 0.118 0.429
Sc 0.798 0.676 0.266
Sc 0.882 0.315 0.071
Sb 0.389 0.611 0.250
Sb 0.611 0.389 0.750
Se 0.063 0.937 0.750
Se 0.937 0.063 0.250

The calculation puts the offset from the most stable computed form at 0.0000 eV/atom. The value obtained for the uncorrected formation energy is -4.75 eV/f.u.

---

[10]
Li3Rh4 | PBE | optimized geometry

abc: 12.908 12.908 12.908
angles: 167.73 167.73 17.39
Atoms (fractional coordinates):
Li 0.000 0.000 0.000
Li 0.290 0.290 0.000
Li 0.710 0.710 0.000
Rh 0.142 0.142 0.000
Rh 0.428 0.428 0.000
Rh 0.572 0.572 0.000
Rh 0.858 0.858 0.000

The formation energy is -0.03 eV/atom.

---

[11]
Co4Ni2Ir | PBE | optimized geometry

abc: 6.096 6.096 6.096
angles: 109.81 109.81 108.79
Atoms (fractional coordinates):
Co 0.141 0.709 0.746
Co 0.146 0.213 0.754
Co 0.291 0.037 0.432
Co 0.459 0.391 0.246
Co 0.604 0.859 0.568
Co 0.609 0.854 0.068
Co 0.787 0.541 0.932
Co 0.963 0.396 0.254
Ni 0.236 0.625 0.111
Ni 0.375 0.486 0.611
Ni 0.514 0.125 0.889
Ni 0.875 0.764 0.389
Ir 0.000 0.000 0.000
Ir 0.750 0.250 0.500

The calculation puts the offset from the most stable computed form at 0.1957 eV/atom. The formation energy is 0.40 eV/atom.

---

[12]
HfSiC3 | PBE | optimized geometry

abc: 3.725 3.725 3.725
angles: 90.00 90.00 90.00
Atoms (fractional coordinates):
Hf 0.000 0.000 0.000
Si 0.500 0.500 0.500
C 0.000 0.500 0.500
C 0.500 0.000 0.500
C 0.500 0.500 0.000

The calculation puts the offset from the most stable computed form at 0.0000 eV/atom. The value obtained for the uncorrected formation energy is 5.68 eV/f.u.

---

Calculated uncorrected energy in order - -6.87; -6.47; -4.01; -1.83; -6.63; -6.41; -2.33; -6.41; -6.28; -5.05; -6.58; -7.47 eV per atom